[1]
VASP calculation (PBE) on a relaxed Ba2SrAgIr crystal.

Output
formation enthalpy at 0 K = -4.54 kJ/mol of atoms

Cell lengths 6.050, 6.050, 5.822 Å; angles 90.00, 90.00, 90.00 degrees
Space group P4/mmm (No. 123)
Inequivalent atoms, fractional coordinates:
1 Ba 0.000 0.500 0.000
2 Sr 0.000 0.000 0.500
3 Ag 0.500 0.500 0.500
4 Ir 0.000 0.000 0.000


[2]
VASP calculation (PBE) on a relaxed BaSr2AgIr crystal.

Output
formation enthalpy at 0 K = -4.67 kJ/mol of atoms

Cell lengths 5.800, 5.800, 6.026 Å; angles 90.00, 90.00, 90.00 degrees
Space group P4/mmm (No. 123)
Inequivalent atoms, fractional coordinates:
1 Ba 0.000 0.000 0.000
2 Sr 0.000 0.500 0.500
3 Ag 0.500 0.500 0.000
4 Ir 0.000 0.000 0.500


[3]
VASP calculation (PBE) on a relaxed Ba2AgTeIr crystal.

Output
ΔE_f (raw) = -1.79 eV per formula unit

Cell lengths 5.928, 5.928, 5.129 Å; angles 90.00, 90.00, 90.00 degrees
Space group P4/mmm (No. 123)
Inequivalent atoms, fractional coordinates:
1 Ba 0.000 0.500 0.000
2 Ag 0.000 0.000 0.500
3 Te 0.500 0.500 0.500
4 Ir 0.000 0.000 0.000


| no. | Fermi-level density of states (states/eV per atom) |
| --- | --- |
| 1 | 1.15 |
| 2 | 1.08 |
| 3 | 0.73 |